ScTlGeBr6 | PBE | relaxed

Results
Total energy = -3.74 eV per atom
Formation energy from raw total energies = -1.150 eV per atom
Crystal system = trigonal
Total magnetization = 0.0000 μB per atom
Symmetry = P312, No. 149
DOS(E_F) = 0.00 states/eV/cell

a b c (Å): 7.153 7.153 7.257
angles (deg): 90.00 90.00 120.00
Element x y z (fractional)
Sc: 0.000 0.000 0.000
Tl: 0.333 0.667 0.500
Ge: 0.667 0.333 0.000
Br: 0.318 0.029 0.214
Br: 0.318 0.289 0.786
Br: 0.711 0.029 0.786
Br: 0.711 0.682 0.214
Br: 0.971 0.289 0.214
Br: 0.971 0.682 0.786